Cr2TcSb | PBE | relaxed

Cell: 3.173 4.232 8.643 Å, 90.00 90.00 90.00°
Space group Immm (No. 71)
Inequivalent atoms, fractional coordinates:
Cr (0.000, 0.000, 0.249) [4 per cell]
Tc (0.000, 0.500, 0.500) [2 per cell]
Sb (0.000, 0.500, 0.000) [2 per cell]

The calculation puts the uncorrected formation energy at 0.2786 eV/atom. The value obtained for the energy is -8.16 eV per atom.